A relaxed structure of ZnCoPb2, computed with PBE.

```
ZnCoPb2
1.0
0.000 3.513 3.513
3.513 0.000 3.513
3.513 3.513 0.000
Zn Co Pb
1 1 2
Cartesian
0.000 0.000 0.000 Zn
5.269 5.269 5.269 Co
1.756 1.756 1.756 Pb
3.513 3.513 3.513 Pb
```

Results
The value obtained for the total energy is -3.303 eV per atom. The value obtained for the magnetic moment is 1.3 μB/f.u. As for the space group: F-43m (216).